1.
Here is a relaxed EuPuSnBi crystal from the Alexandria database. Energies are from PBE-GGA.

Summary:
* E: -8.54 eV/atom
* ΔH_f (0 K): -0.4145 eV/atom
* volume: 119 Å³/f.u.

Lattice parameters (Å, degrees): 7.8174 7.8174 7.8174 90.00 90.00 90.00
Last column: nearest neighbours and their distance in Å.
Element x y z (fractional)
Eu1 0.0000 0.0000 0.0000  4 Sn 3.39, 4 Bi 3.39
Eu2 0.0000 0.5000 0.5000  4 Sn 3.39, 4 Bi 3.39
Eu3 0.5000 0.0000 0.5000  4 Sn 3.39, 4 Bi 3.39
Eu4 0.5000 0.5000 0.0000  4 Sn 3.39, 4 Bi 3.39
Pu1 0.0000 0.0000 0.5000  4 Bi 3.39, 4 Sn 3.39
Pu2 0.0000 0.5000 0.0000  4 Bi 3.39, 4 Sn 3.39
Pu3 0.5000 0.0000 0.0000  4 Bi 3.39, 4 Sn 3.39
Pu4 0.5000 0.5000 0.5000  4 Bi 3.39, 4 Sn 3.39
Sn1 0.2500 0.2500 0.2500  4 Pu 3.39, 4 Eu 3.39
Sn2 0.2500 0.7500 0.7500  4 Pu 3.39, 4 Eu 3.39
Sn3 0.7500 0.2500 0.7500  4 Pu 3.39, 4 Eu 3.39
Sn4 0.7500 0.7500 0.2500  4 Pu 3.39, 4 Eu 3.39
Bi1 0.2500 0.2500 0.7500  4 Pu 3.39, 4 Eu 3.39
Bi2 0.2500 0.7500 0.2500  4 Pu 3.39, 4 Eu 3.39
Bi3 0.7500 0.2500 0.2500  4 Pu 3.39, 4 Eu 3.39
Bi4 0.7500 0.7500 0.7500  4 Pu 3.39, 4 Eu 3.39

=====

2.
Here is a relaxed RbEuBi2 crystal from the Alexandria database. Energies are from PBE-GGA.

Summary:
* E: -5.05 eV/atom
* ΔH_f (0 K): -0.2943 eV/atom
* volume: 175 Å³/f.u.

Lattice parameters (Å, degrees): 5.3139 5.3139 21.4929 90.00 90.00 120.00
Last column: nearest neighbours and their distance in Å.
Element x y z (fractional)
Rb1 0.0000 0.0000 0.0000  6 Bi 3.89
Rb2 0.3333 0.6667 0.6667  6 Bi 3.89
Rb3 0.6667 0.3333 0.3333  6 Bi 3.89
Eu1 0.0000 0.0000 0.5000  6 Bi 3.29
Eu2 0.3333 0.6667 0.1667  6 Bi 3.29
Eu3 0.6667 0.3333 0.8333  6 Bi 3.29
Bi1 0.0000 0.0000 0.2222  3 Eu 3.29
Bi2 0.0000 0.0000 0.7778  3 Eu 3.29
Bi3 0.3333 0.6667 0.4444  3 Eu 3.29
Bi4 0.3333 0.6667 0.8889  3 Eu 3.29
Bi5 0.6667 0.3333 0.1111  3 Eu 3.29
Bi6 0.6667 0.3333 0.5556  3 Eu 3.29

=====

3.
Here is a relaxed RbEuBi2 crystal from the Alexandria database. Energies are from PBE-GGA.

Summary:
* E: -5.32 eV/atom
* ΔH_f (0 K): -0.5735 eV/atom
* volume: 158 Å³/f.u.

Lattice parameters (Å, degrees): 4.4310 4.4310 8.0490 90.00 90.00 90.00
Last column: nearest neighbours and their distance in Å.
Element x y z (fractional)
Rb1 0.0000 0.0000 0.0000  8 Bi 4.02, 2 Eu 4.02, 4 Rb 4.43
Eu1 0.0000 0.0000 0.5000  8 Bi 3.48
Bi1 0.5000 0.5000 0.3122  1 Bi 3.02
Bi2 0.5000 0.5000 0.6878  1 Bi 3.02

=====

4.
Here is a relaxed RbEuBi2 crystal from the Alexandria database. Energies are from PBE-GGA.

Summary:
* E: -5.18 eV/atom
* ΔH_f (0 K): -0.4302 eV/atom
* volume: 142 Å³/f.u.

Lattice parameters (Å, degrees): 5.3251 5.3251 4.9981 90.00 90.00 90.00
Last column: nearest neighbours and their distance in Å.
Element x y z (fractional)
Rb1 0.0000 0.0000 0.0000  8 Bi 3.65, 4 Eu 3.77
Eu1 0.5000 0.5000 0.0000  8 Bi 3.65, 4 Rb 3.77
Bi1 0.0000 0.5000 0.5000  4 Rb 3.65, 4 Eu 3.65, 4 Bi 3.77
Bi2 0.5000 0.0000 0.5000  4 Rb 3.65, 4 Eu 3.65, 4 Bi 3.77

=====

5.
Here is a relaxed RbEuTlBi crystal from the Alexandria database. Energies are from PBE-GGA.

Summary:
* E: -4.68 eV/atom
* ΔH_f (0 K): -0.3064 eV/atom
* volume: 148 Å³/f.u.

Lattice parameters (Å, degrees): 8.3954 8.3954 8.3954 90.00 90.00 90.00
Last column: nearest neighbours and their distance in Å.
Element x y z (fractional)
Rb1 0.0000 0.0000 0.0000  4 Tl 3.64, 4 Bi 3.64
Rb2 0.0000 0.5000 0.5000  4 Tl 3.64, 4 Bi 3.64
Rb3 0.5000 0.0000 0.5000  4 Tl 3.64, 4 Bi 3.64
Rb4 0.5000 0.5000 0.0000  4 Tl 3.64, 4 Bi 3.64
Eu1 0.0000 0.0000 0.5000  4 Bi 3.64, 4 Tl 3.64
Eu2 0.0000 0.5000 0.0000  4 Bi 3.64, 4 Tl 3.64
Eu3 0.5000 0.0000 0.0000  4 Bi 3.64, 4 Tl 3.64
Eu4 0.5000 0.5000 0.5000  4 Bi 3.64, 4 Tl 3.64
Tl1 0.2500 0.2500 0.2500  4 Rb 3.64, 4 Eu 3.64
Tl2 0.2500 0.7500 0.7500  4 Rb 3.64, 4 Eu 3.64
Tl3 0.7500 0.2500 0.7500  4 Rb 3.64, 4 Eu 3.64
Tl4 0.7500 0.7500 0.2500  4 Rb 3.64, 4 Eu 3.64
Bi1 0.2500 0.2500 0.7500  4 Rb 3.64, 4 Eu 3.64
Bi2 0.2500 0.7500 0.2500  4 Rb 3.64, 4 Eu 3.64
Bi3 0.7500 0.2500 0.2500  4 Rb 3.64, 4 Eu 3.64
Bi4 0.7500 0.7500 0.7500  4 Eu 3.64, 4 Rb 3.64

=====

6.
Here is a relaxed Eu2BiRh crystal from the Alexandria database. Energies are from PBE-GGA.

Summary:
* E: -8.50 eV/atom
* ΔH_f (0 K): -0.5580 eV/atom
* volume: 107 Å³/f.u.

Lattice parameters (Å, degrees): 3.5483 3.5483 8.5366 90.00 90.00 90.00
Last column: nearest neighbours and their distance in Å.
Element x y z (fractional)
Eu1 0.0000 0.0000 0.2064  4 Rh 3.07
Eu2 0.0000 0.0000 0.7936  4 Rh 3.07
Bi1 0.5000 0.5000 0.5000  8 Eu 3.55, 4 Bi 3.55
Rh1 0.5000 0.5000 0.0000  8 Eu 3.07

=====

7.
Here is a relaxed Eu3BiRh crystal from the Alexandria database. Energies are from PBE-GGA.

Summary:
* E: -8.93 eV/atom
* ΔH_f (0 K): -0.5204 eV/atom
* volume: 168 Å³/f.u.

Lattice parameters (Å, degrees): 5.5203 5.5203 5.5203 90.00 90.00 90.00
Last column: nearest neighbours and their distance in Å.
Element x y z (fractional)
Eu1 0.0000 0.0000 0.5000  2 Rh 2.76
Eu2 0.0000 0.5000 0.0000  2 Rh 2.76
Eu3 0.5000 0.0000 0.0000  2 Rh 2.76
Bi1 0.5000 0.5000 0.5000  12 Eu 3.90
Rh1 0.0000 0.0000 0.0000  6 Eu 2.76

=====

8.
Here is a relaxed EuBi2Rh crystal from the Alexandria database. Energies are from PBE-GGA.

Summary:
* E: -6.43 eV/atom
* ΔH_f (0 K): -0.0828 eV/atom
* volume: 120 Å³/f.u.

Lattice parameters (Å, degrees): 3.6788 3.6788 30.7664 90.00 90.00 120.00
Last column: nearest neighbours and their distance in Å.
Element x y z (fractional)
Eu1 0.0000 0.0000 0.0000  2 Bi 3.33, 6 Eu 3.68
Eu2 0.3333 0.6667 0.6667  2 Bi 3.33, 6 Eu 3.68
Eu3 0.6667 0.3333 0.3333  2 Bi 3.33, 6 Eu 3.68
Bi1 0.0000 0.0000 0.1082  3 Rh 2.78
Bi2 0.0000 0.0000 0.8918  3 Rh 2.78
Bi3 0.3333 0.6667 0.5584  3 Rh 2.78
Bi4 0.3333 0.6667 0.7749  3 Rh 2.78
Bi5 0.6667 0.3333 0.2251  3 Rh 2.78
Bi6 0.6667 0.3333 0.4416  3 Rh 2.78
Rh1 0.0000 0.0000 0.5000  6 Bi 2.78
Rh2 0.3333 0.6667 0.1667  6 Bi 2.78
Rh3 0.6667 0.3333 0.8333  6 Bi 2.78

=====

9.
Here is a relaxed EuBiRh2 crystal from the Alexandria database. Energies are from PBE-GGA.

Summary:
* E: -7.50 eV/atom
* ΔH_f (0 K): -0.2904 eV/atom
* volume: 81 Å³/f.u.

Lattice parameters (Å, degrees): 6.8616 6.8616 6.8616 90.00 90.00 90.00
Last column: nearest neighbours and their distance in Å.
Element x y z (fractional)
Eu1 0.0000 0.0000 0.0000  8 Rh 2.97
Eu2 0.0000 0.5000 0.5000  8 Rh 2.97
Eu3 0.5000 0.0000 0.5000  8 Rh 2.97
Eu4 0.5000 0.5000 0.0000  8 Rh 2.97
Bi1 0.0000 0.0000 0.5000  8 Rh 2.97
Bi2 0.0000 0.5000 0.0000  8 Rh 2.97
Bi3 0.5000 0.0000 0.0000  8 Rh 2.97
Bi4 0.5000 0.5000 0.5000  8 Rh 2.97
Rh1 0.2500 0.2500 0.2500  4 Eu 2.97, 4 Bi 2.97
Rh2 0.2500 0.2500 0.7500  4 Bi 2.97, 4 Eu 2.97
Rh3 0.2500 0.7500 0.2500  4 Bi 2.97, 4 Eu 2.97
Rh4 0.2500 0.7500 0.7500  4 Eu 2.97, 4 Bi 2.97
Rh5 0.7500 0.2500 0.2500  4 Bi 2.97, 4 Eu 2.97
Rh6 0.7500 0.2500 0.7500  4 Eu 2.97, 4 Bi 2.97
Rh7 0.7500 0.7500 0.2500  4 Eu 2.97, 4 Bi 2.97
Rh8 0.7500 0.7500 0.7500  4 Bi 2.97, 4 Eu 2.97

=====

10.
Here is a relaxed EuBiRh2 crystal from the Alexandria database. Energies are from PBE-GGA.

Summary:
* E: -7.52 eV/atom
* ΔH_f (0 K): -0.3060 eV/atom
* volume: 81 Å³/f.u.

Lattice parameters (Å, degrees): 4.6215 4.6215 3.8016 90.00 90.00 90.00
Last column: nearest neighbours and their distance in Å.
Element x y z (fractional)
Eu1 0.0000 0.0000 0.0000  8 Rh 2.99, 4 Bi 3.27
Bi1 0.5000 0.5000 0.0000  8 Rh 2.99, 4 Eu 3.27
Rh1 0.0000 0.5000 0.5000  4 Bi 2.99, 4 Eu 2.99, 4 Rh 3.27
Rh2 0.5000 0.0000 0.5000  4 Bi 2.99, 4 Eu 2.99, 4 Rh 3.27